The following is a DFT calculation (PBE-GGA) of an optimized crystal structure of ScGaRe2Ag.

```
5
Lattice="-0.003 4.863 -0.509 -1.891 0.461 4.415 4.498 0.203 1.906" Properties=species:S:1:pos:R:3 pbc="T T T"
Sc -0.945 0.231 2.207
Re 2.249 0.101 0.953
Re -0.002 2.432 -0.255
Ga 1.302 2.763 2.906
Ag 0.000 0.000 0.000
```

Results
**E**: -0.3997 Ry per atom
**Size of the total moment**: 3.3 μB/cell
**Space-group type**: P4/mmm (123)
**N(E_F)**: 5.3 states/eV per cell